Material: KLaZrMnO6
Method: DFT, GGA+U
State: optimized geometry

Cell lengths 5.6580, 5.6580, 5.6580 Å; angles 60.00, 60.00, 60.00 degrees
Positions (direct):
K1 0.0000 0.0000 0.0000
La1 0.5000 0.5000 0.5000
Zr1 0.7500 0.7500 0.7500
Mn1 0.2500 0.2500 0.2500
O1 0.0104 0.0104 0.4896
O2 0.0104 0.4896 0.0104
O3 0.0104 0.4896 0.4896
O4 0.4896 0.0104 0.0104
O5 0.4896 0.0104 0.4896
O6 0.4896 0.4896 0.0104

## Properties
Total magnetic moment = 3.0 μB/cell
Crystal system = cubic
Theoretical density = 5.45 g cm⁻³
DOS at the Fermi energy = 0.000 states/eV/atom
DFT total energy = -7.6788 eV/atom